The following is a PBE calculation of CaPr3Y7 after structural relaxation, from Alexandria via LeMat-Bulk.

Cell and atoms, written as extended XYZ:
```
11
Lattice="7.200 0.000 0.000 -3.600 6.235 0.000 0.000 0.000 8.811" Properties=species:S:1:pos:R:3 pbc="T T T"
Ca 0.000 0.000 0.000
Pr 0.000 2.118 3.033
Pr -1.766 5.176 3.033
Pr 1.766 5.176 3.033
Y -1.778 3.130 8.804
Y 0.000 4.157 5.975
Y 1.814 1.047 5.910
Y 1.778 3.130 8.804
Y 0.000 6.210 8.804
Y 5.386 1.047 5.910
Y 3.600 4.140 5.910
```

Properties
Relative energy among the computed polymorphs ... 0.000 eV/atom
Magnetic moment ... 0.001 μB per formula unit
Final energy ... -5.385 eV per atom
Energy of formation from the pure elements ... 0.214 eV per atom
SG ... P3m1 (156)